i | # GGA-PBEsol Al2AgAs, optimized geometry
data_Al2AgAs
_chemical_formula_sum 'Al2 Ag1 As1'
_cell_length_a 3.0009
_cell_length_b 4.0541
_cell_length_c 5.9954
_cell_angle_alpha 90.00
_cell_angle_beta 104.62
_cell_angle_gamma 90.00
_symmetry_space_group_name_H-M 'P 1 m 1'
_symmetry_Int_Tables_number 6
_symmetry_space_group_name_Hall 'P -2y'
loop_
_atom_site_label
_atom_site_type_symbol
_atom_site_fract_x
_atom_site_fract_y
_atom_site_fract_z
Al1 Al 0.0000 0.0000 0.0000
Al2 Al 0.3504 0.5000 0.7031
Ag1 Ag 0.7676 0.0000 0.5389
As1 As 0.5835 0.5000 0.1665
# N(E_F): 0.2605 states/eV per atom
# Magnetization: 0.00 μB per cell

ii | # GGA-PBEsol Al2AgAs, optimized geometry
data_Al2AgAs
_chemical_formula_sum 'Al2 Ag1 As1'
_cell_length_a 3.6017
_cell_length_b 3.6017
_cell_length_c 5.4828
_cell_angle_alpha 90.00
_cell_angle_beta 90.00
_cell_angle_gamma 90.00
_symmetry_space_group_name_H-M 'P 4 m m'
_symmetry_Int_Tables_number 99
_symmetry_space_group_name_Hall 'P 4 -2'
loop_
_atom_site_label
_atom_site_type_symbol
_atom_site_fract_x
_atom_site_fract_y
_atom_site_fract_z
Al1 Al 0.0000 0.0000 0.0000
Al2 Al 0.5000 0.5000 0.3449
Ag1 Ag 0.5000 0.5000 0.8647
As1 As 0.0000 0.0000 0.4696
# N(E_F): 0.4537 states/eV per atom
# Magnetization: 0.00 μB per cell

iii | # GGA-PBEsol Al2AgAs, optimized geometry
data_Al2AgAs
_chemical_formula_sum 'Al6 Ag3 As3'
_cell_length_a 2.9632
_cell_length_b 2.9632
_cell_length_c 26.8403
_cell_angle_alpha 90.00
_cell_angle_beta 90.00
_cell_angle_gamma 120.00
_symmetry_space_group_name_H-M 'R 3 m'
_symmetry_Int_Tables_number 160
_symmetry_space_group_name_Hall 'R 3 -2"'
loop_
_atom_site_label
_atom_site_type_symbol
_atom_site_fract_x
_atom_site_fract_y
_atom_site_fract_z
Al1 Al 0.0000 0.0000 0.0000
Al2 Al 0.0000 0.0000 0.2525
Ag1 Ag 0.0000 0.0000 0.5070
As1 As 0.0000 0.0000 0.7457
# N(E_F): 0.3814 states/eV per atom
# Magnetization: 0.00 μB per cell

iv | # GGA-PBEsol Al2AgAs, optimized geometry
data_Al2AgAs
_chemical_formula_sum 'Al2 Ag1 As1'
_cell_length_a 2.7531
_cell_length_b 3.3763
_cell_length_c 7.5417
_cell_angle_alpha 90.00
_cell_angle_beta 90.00
_cell_angle_gamma 90.00
_symmetry_space_group_name_H-M 'P m m m'
_symmetry_Int_Tables_number 47
_symmetry_space_group_name_Hall '-P 2 2'
loop_
_atom_site_label
_atom_site_type_symbol
_atom_site_fract_x
_atom_site_fract_y
_atom_site_fract_z
Al1 Al 0.0000 0.0000 0.2317
Ag1 Ag 0.5000 0.5000 0.0000
As1 As 0.0000 0.5000 0.5000
# N(E_F): 0.4384 states/eV per atom
# Magnetization: 0.00 μB per cell

Question: which arrangement is favored energetically? Ranking from most to least stable: iv, ii, i, iii.